[1]
DFT (PBE) results for a relaxed Li2Cu3F8 crystal.

Cell lengths 5.4676, 5.4986, 5.6348 Å; angles 89.15, 78.19, 66.17 degrees
Fractional positions:
Li1 0.0000 0.0000 0.0000
Li2 0.4690 0.2991 0.7079
Cu1 0.0852 0.4864 0.2349
Cu2 0.3917 0.8733 0.4681
Cu3 0.7461 0.5831 0.8131
F1 0.1780 0.2484 0.9481
F2 0.1857 0.8050 0.2647
F3 0.2490 0.7119 0.7387
F4 0.3423 0.2458 0.3982
F5 0.6594 0.9030 0.6362
F6 0.6767 0.2990 0.9574
F7 0.7829 0.4154 0.5011
F8 0.7846 0.7434 0.1046

- E_form (uncorrected) (meV per atom) = -1893
- excess energy over the best structure of this formula in the dataset (kJ/mol of atoms) = 3.68

***

[2]
DFT (PBE) results for a relaxed Li2CuF6 crystal.

Cell lengths 5.0183, 4.8522, 9.6867 Å; angles 90.00, 119.63, 90.00 degrees
Fractional positions:
Li1 0.2003 0.0073 0.2058
Li2 0.2003 0.4927 0.7058
Li3 0.7997 0.5073 0.2942
Li4 0.7997 0.9927 0.7942
Cu1 0.5000 0.0000 0.0000
Cu2 0.5000 0.5000 0.5000
F1 0.1737 0.7190 0.3399
F2 0.1737 0.7810 0.8399
F3 0.2069 0.2070 0.0019
F4 0.2069 0.2930 0.5019
F5 0.4930 0.7106 0.6595
F6 0.4930 0.7894 0.1595
F7 0.5070 0.2106 0.8405
F8 0.5070 0.2894 0.3405
F9 0.7931 0.7070 0.4981
F10 0.7931 0.7930 0.9981
F11 0.8263 0.2190 0.1601
F12 0.8263 0.2810 0.6601

- E_form (uncorrected) (meV per atom) = -1948
- excess energy over the best structure of this formula in the dataset (kJ/mol of atoms) = 0.00

***

[3]
DFT (PBE) results for a relaxed Li5CuF8 crystal.

Cell lengths 5.0767, 5.0767, 5.9124 Å; angles 90.00, 90.00, 110.16 degrees
Fractional positions:
Li1 0.0000 0.0000 0.0000
Li2 0.0000 0.5000 0.2298
Li3 0.0000 0.5000 0.7702
Li4 0.5000 0.0000 0.2298
Li5 0.5000 0.0000 0.7702
Cu1 0.0000 0.0000 0.5000
F1 0.2254 0.2254 0.2630
F2 0.2254 0.2254 0.7370
F3 0.2317 0.7683 0.5000
F4 0.2356 0.7644 0.0000
F5 0.7644 0.2356 0.0000
F6 0.7683 0.2317 0.5000
F7 0.7746 0.7746 0.2630
F8 0.7746 0.7746 0.7370

- E_form (uncorrected) (meV per atom) = -2501
- excess energy over the best structure of this formula in the dataset (kJ/mol of atoms) = 1.53

***

[4]
DFT (PBE) results for a relaxed LiCuF3 crystal.

Cell lengths 6.8685, 6.8685, 6.1332 Å; angles 107.59, 107.59, 75.90 degrees
Fractional positions:
Li1 0.1199 0.2695 0.1583
Li2 0.2695 0.1199 0.6583
Li3 0.7305 0.8801 0.3417
Li4 0.8801 0.7305 0.8417
Cu1 0.2321 0.7679 0.2500
Cu2 0.4096 0.5904 0.7500
Cu3 0.5904 0.4096 0.2500
Cu4 0.7679 0.2321 0.7500
F1 0.0595 0.2167 0.8199
F2 0.1595 0.6367 0.8345
F3 0.2167 0.0595 0.3199
F4 0.3023 0.4747 0.2821
F5 0.3633 0.8405 0.6655
F6 0.4747 0.3023 0.7821
F7 0.5253 0.6977 0.2179
F8 0.6367 0.1595 0.3345
F9 0.6977 0.5253 0.7179
F10 0.7833 0.9405 0.6801
F11 0.8405 0.3633 0.1655
F12 0.9405 0.7833 0.1801

- E_form (uncorrected) (meV per atom) = -2057
- excess energy over the best structure of this formula in the dataset (kJ/mol of atoms) = 2.40

***

[5]
DFT (PBE) results for a relaxed LiCu2F5 crystal.

Cell lengths 5.5876, 5.5876, 9.8806 Å; angles 90.00, 90.00, 139.58 degrees
Fractional positions:
Li1 0.1951 0.8049 0.7500
Li2 0.8049 0.1951 0.2500
Cu1 0.1331 0.8669 0.0710
Cu2 0.1331 0.8669 0.4290
Cu3 0.8669 0.1331 0.5710
Cu4 0.8669 0.1331 0.9290
F1 0.0676 0.9324 0.6107
F2 0.0676 0.9324 0.8893
F3 0.2185 0.7815 0.2500
F4 0.3271 0.6729 0.5711
F5 0.3271 0.6729 0.9289
F6 0.6729 0.3271 0.0711
F7 0.6729 0.3271 0.4289
F8 0.7815 0.2185 0.7500
F9 0.9324 0.0676 0.1107
F10 0.9324 0.0676 0.3893

- E_form (uncorrected) (meV per atom) = -1840
- excess energy over the best structure of this formula in the dataset (kJ/mol of atoms) = 0.41

***

[6]
DFT (PBE) results for a relaxed LiCu3F7 crystal.

Cell lengths 6.9199, 6.9199, 6.9569 Å; angles 113.43, 113.43, 64.42 degrees
Fractional positions:
Li1 0.0000 0.0000 0.0000
Li2 0.0000 0.0000 0.5000
Cu1 0.0000 0.5000 0.0000
Cu2 0.0000 0.5000 0.5000
Cu3 0.5000 0.0000 0.0000
Cu4 0.5000 0.0000 0.5000
Cu5 0.5000 0.5000 0.0000
Cu6 0.5000 0.5000 0.5000
F1 0.0924 0.1855 0.4103
F2 0.1419 0.4976 0.3041
F3 0.1855 0.0924 0.9103
F4 0.1936 0.6358 0.0076
F5 0.3642 0.8064 0.4924
F6 0.3978 0.6022 0.7500
F7 0.4976 0.1419 0.8041
F8 0.5024 0.8581 0.1959
F9 0.6022 0.3978 0.2500
F10 0.6358 0.1936 0.5076
F11 0.8064 0.3642 0.9924
F12 0.8145 0.9076 0.0897
F13 0.8581 0.5024 0.6959
F14 0.9076 0.8145 0.5897

- E_form (uncorrected) (meV per atom) = -1738

***

[7]
DFT (PBE) results for a relaxed LiCuF5 crystal.

Cell lengths 5.3297, 5.3297, 7.1605 Å; angles 107.77, 107.77, 91.85 degrees
Fractional positions:
Li1 0.0998 0.9002 0.7500
Li2 0.9002 0.0998 0.2500
Cu1 0.0000 0.5000 0.0000
Cu2 0.5000 0.0000 0.5000
F1 0.1655 0.5945 0.8425
F2 0.1746 0.2150 0.9935
F3 0.2150 0.1746 0.4935
F4 0.2795 0.7205 0.2500
F5 0.4055 0.8345 0.6575
F6 0.5945 0.1655 0.3425
F7 0.7205 0.2795 0.7500
F8 0.7850 0.8254 0.5065
F9 0.8254 0.7850 0.0065
F10 0.8345 0.4055 0.1575

- E_form (uncorrected) (meV per atom) = -1631
- excess energy over the best structure of this formula in the dataset (kJ/mol of atoms) = 0.00

***

[8]
DFT (PBE) results for a relaxed Li2CuF5 crystal.

Cell lengths 7.2213, 5.3258, 9.5733 Å; angles 90.00, 90.00, 90.00 degrees
Fractional positions:
Li1 0.0590 0.2500 0.2245
Li2 0.0834 0.2500 0.9268
Li3 0.4166 0.7500 0.4268
Li4 0.4410 0.7500 0.7245
Li5 0.5589 0.2500 0.2755
Li6 0.5834 0.2500 0.5732
Li7 0.9166 0.7500 0.0732
Li8 0.9410 0.7500 0.7755
Cu1 0.1798 0.2500 0.5464
Cu2 0.3202 0.7500 0.0464
Cu3 0.6798 0.2500 0.9536
Cu4 0.8202 0.7500 0.4536
F1 0.0000 0.0000 0.5000
F2 0.0000 0.5000 0.5000
F3 0.0953 0.2500 0.7299
F4 0.1369 0.0030 0.0844
F5 0.1369 0.4970 0.0844
F6 0.2362 0.7500 0.8552
F7 0.2638 0.2500 0.3552
F8 0.3631 0.5030 0.5844
F9 0.3631 0.9970 0.5844
F10 0.4047 0.7500 0.2299
F11 0.5000 0.0000 0.0000
F12 0.5000 0.5000 0.0000
F13 0.5953 0.2500 0.7701
F14 0.6369 0.0030 0.4156
F15 0.6369 0.4970 0.4156
F16 0.7362 0.7500 0.6448
F17 0.7638 0.2500 0.1448
F18 0.8631 0.5030 0.9156
F19 0.8631 0.9970 0.9156
F20 0.9047 0.7500 0.2701

- E_form (uncorrected) (meV per atom) = -2133

***

[9]
DFT (PBE) results for a relaxed Li2Cu4F9 crystal.

Cell lengths 5.0230, 5.3156, 14.4878 Å; angles 84.12, 89.84, 61.82 degrees
Fractional positions:
Li1 0.0031 0.0011 0.1525
Li2 0.0036 0.0005 0.3477
Li3 0.9964 0.9995 0.6523
Li4 0.9969 0.9989 0.8475
Cu1 0.3223 0.3433 0.6859
Cu2 0.3294 0.3249 0.4790
Cu3 0.3351 0.3443 0.1863
Cu4 0.3448 0.3243 0.9793
Cu5 0.6552 0.6757 0.0207
Cu6 0.6649 0.6557 0.8137
Cu7 0.6706 0.6751 0.5210
Cu8 0.6777 0.6567 0.3141
F1 0.0060 0.3395 0.3986
F2 0.0108 0.2926 0.7523
F3 0.0319 0.3558 0.0853
F4 0.2881 0.0530 0.5727
F5 0.3019 0.7083 0.7478
F6 0.3255 0.0003 0.2502
F7 0.3414 0.9457 0.9271
F8 0.3473 0.6617 0.1019
F9 0.3855 0.6452 0.4146
F10 0.6145 0.3548 0.5854
F11 0.6527 0.3383 0.8981
F12 0.6586 0.0543 0.0729
F13 0.6745 0.9997 0.7498
F14 0.6981 0.2917 0.2522
F15 0.7119 0.9470 0.4273
F16 0.9681 0.6442 0.9147
F17 0.9892 0.7074 0.2477
F18 0.9940 0.6605 0.6014

- E_form (uncorrected) (meV per atom) = -1828

***

[10]
DFT (PBE) results for a relaxed Li5Cu3F12 crystal.

Cell lengths 10.1591, 10.1591, 10.1591 Å; angles 109.47, 109.47, 109.47 degrees
Fractional positions:
Li1 0.0000 0.0000 0.0000
Li2 0.0000 0.0000 0.5000
Li3 0.0000 0.5000 0.0000
Li4 0.0000 0.5000 0.5000
Li5 0.1250 0.7500 0.8750
Li6 0.1250 0.8750 0.2500
Li7 0.2500 0.1250 0.8750
Li8 0.2500 0.6250 0.3750
Li9 0.3750 0.2500 0.6250
Li10 0.3750 0.6250 0.7500
Li11 0.5000 0.0000 0.0000
Li12 0.5000 0.0000 0.5000
Li13 0.5000 0.5000 0.0000
Li14 0.5000 0.5000 0.5000
Li15 0.6250 0.3750 0.2500
Li16 0.6250 0.7500 0.3750
Li17 0.7500 0.3750 0.6250
Li18 0.7500 0.8750 0.1250
Li19 0.8750 0.1250 0.7500
Li20 0.8750 0.2500 0.1250
Cu1 0.1250 0.2500 0.3750
Cu2 0.1250 0.3750 0.7500
Cu3 0.2500 0.3750 0.1250
Cu4 0.2500 0.8750 0.6250
Cu5 0.3750 0.1250 0.2500
Cu6 0.3750 0.7500 0.1250
Cu7 0.6250 0.2500 0.8750
Cu8 0.6250 0.8750 0.7500
Cu9 0.7500 0.1250 0.3750
Cu10 0.7500 0.6250 0.8750
Cu11 0.8750 0.6250 0.2500
Cu12 0.8750 0.7500 0.6250
F1 0.0485 0.2267 0.1209
F2 0.0485 0.3218 0.9276
F3 0.0724 0.6209 0.3942
F4 0.0724 0.9515 0.6782
F5 0.1058 0.7267 0.6782
F6 0.1058 0.8791 0.4276
F7 0.1209 0.0485 0.2267
F8 0.1209 0.5724 0.8942
F9 0.1782 0.2267 0.6058
F10 0.1782 0.4515 0.5724
F11 0.2267 0.1209 0.0485
F12 0.2267 0.6058 0.1782
F13 0.2733 0.3218 0.8942
F14 0.2733 0.4515 0.3791
F15 0.3218 0.8942 0.2733
F16 0.3218 0.9276 0.0485
F17 0.3791 0.2733 0.4515
F18 0.3791 0.6058 0.9276
F19 0.3942 0.0724 0.6209
F20 0.3942 0.8218 0.7733
F21 0.4276 0.1058 0.8791
F22 0.4276 0.8218 0.5485
F23 0.4515 0.3791 0.2733
F24 0.4515 0.5724 0.1782
F25 0.5485 0.4276 0.8218
F26 0.5485 0.6209 0.7267
F27 0.5724 0.1782 0.4515
F28 0.5724 0.8942 0.1209
F29 0.6058 0.1782 0.2267
F30 0.6058 0.9276 0.3791
F31 0.6209 0.3942 0.0724
F32 0.6209 0.7267 0.5485
F33 0.6782 0.0724 0.9515
F34 0.6782 0.1058 0.7267
F35 0.7267 0.5485 0.6209
F36 0.7267 0.6782 0.1058
F37 0.7733 0.3942 0.8218
F38 0.7733 0.8791 0.9515
F39 0.8218 0.5485 0.4276
F40 0.8218 0.7733 0.3942
F41 0.8791 0.4276 0.1058
F42 0.8791 0.9515 0.7733
F43 0.8942 0.1209 0.5724
F44 0.8942 0.2733 0.3218
F45 0.9276 0.0485 0.3218
F46 0.9276 0.3791 0.6058
F47 0.9515 0.6782 0.0724
F48 0.9515 0.7733 0.8791

- E_form (uncorrected) (meV per atom) = -2039

***

[11]
DFT (PBE) results for a relaxed LiCuF3 crystal.

Cell lengths 3.6608, 3.6608, 3.6608 Å; angles 90.00, 90.00, 90.00 degrees
Fractional positions:
Li1 0.0000 0.0000 0.0000
Cu1 0.5000 0.5000 0.5000
F1 0.0000 0.0000 0.5000
F2 0.0000 0.5000 0.0000
F3 0.5000 0.0000 0.0000

- E_form (uncorrected) (meV per atom) = -1524
- excess energy over the best structure of this formula in the dataset (kJ/mol of atoms) = 53.82

***

[12]
DFT (PBE) results for a relaxed LiCu3F crystal.

Cell lengths 4.2133, 4.2133, 4.2133 Å; angles 90.00, 90.00, 90.00 degrees
Fractional positions:
Li1 0.0000 0.0000 0.0000
Cu1 0.0000 0.5000 0.5000
Cu2 0.5000 0.0000 0.5000
Cu3 0.5000 0.5000 0.0000
F1 0.5000 0.5000 0.5000

- E_form (uncorrected) (meV per atom) = 114
- excess energy over the best structure of this formula in the dataset (kJ/mol of atoms) = 0.00

***

What did the eighth record say?
DFT (PBE) results for a relaxed Li2CuF5 crystal.

Cell lengths 7.2213, 5.3258, 9.5733 Å; angles 90.00, 90.00, 90.00 degrees
Fractional positions:
Li1 0.0590 0.2500 0.2245
Li2 0.0834 0.2500 0.9268
Li3 0.4166 0.7500 0.4268
Li4 0.4410 0.7500 0.7245
Li5 0.5589 0.2500 0.2755
Li6 0.5834 0.2500 0.5732
Li7 0.9166 0.7500 0.0732
Li8 0.9410 0.7500 0.7755
Cu1 0.1798 0.2500 0.5464
Cu2 0.3202 0.7500 0.0464
Cu3 0.6798 0.2500 0.9536
Cu4 0.8202 0.7500 0.4536
F1 0.0000 0.0000 0.5000
F2 0.0000 0.5000 0.5000
F3 0.0953 0.2500 0.7299
F4 0.1369 0.0030 0.0844
F5 0.1369 0.4970 0.0844
F6 0.2362 0.7500 0.8552
F7 0.2638 0.2500 0.3552
F8 0.3631 0.5030 0.5844
F9 0.3631 0.9970 0.5844
F10 0.4047 0.7500 0.2299
F11 0.5000 0.0000 0.0000
F12 0.5000 0.5000 0.0000
F13 0.5953 0.2500 0.7701
F14 0.6369 0.0030 0.4156
F15 0.6369 0.4970 0.4156
F16 0.7362 0.7500 0.6448
F17 0.7638 0.2500 0.1448
F18 0.8631 0.5030 0.9156
F19 0.8631 0.9970 0.9156
F20 0.9047 0.7500 0.2701

- E_form (uncorrected) (meV per atom) = -2133

***

Look up the E_form (uncorrected) of the eleventh one.
-1524 meV per atom